Entry 1:
# PBE MgZn2ReH, relaxed
data_MgZn2ReH
_chemical_formula_sum 'Mg1 Zn2 Re1 H1'
_space_group_name_H-M_alt 'P 4/m m m'
_space_group_IT_number 123
_space_group_name_Hall '-P 4 2'
_cell_length_a 4.937
_cell_length_b 4.937
_cell_length_c 5.288
_cell_angle_alpha 90.00
_cell_angle_beta 90.00
_cell_angle_gamma 90.00
loop_
_atom_site_label
_atom_site_type_symbol
_atom_site_fract_x
_atom_site_fract_y
_atom_site_fract_z
Mg1 Mg 0.000 0.000 0.000
Zn1 Zn 0.000 0.500 0.500
Re1 Re 0.000 0.000 0.500
H1 H 0.500 0.500 0.000
# * volume: 25.78 A^3/atom
# * energy: -13.10 eV for the cell shown

***

Entry 2:
# PBE CePm5Tl4, relaxed
data_CePm5Tl4
_chemical_formula_sum 'Ce2 Pm10 Tl8'
_space_group_name_H-M_alt 'P m m n'
_space_group_IT_number 59
_cell_length_a 8.309
_cell_length_b 9.388
_cell_length_c 8.827
_cell_angle_alpha 90.00
_cell_angle_beta 90.00
_cell_angle_gamma 90.00
loop_
_space_group_symop_operation_xyz
'x,y,z'
'-x,-y,-z'
'-x+1/2,-y+1/2,z'
'x+1/2,y+1/2,-z'
'x+1/2,-y,-z'
'-x+1/2,y,z'
'-x,y+1/2,-z'
'x,-y+1/2,z'
loop_
_atom_site_label
_atom_site_type_symbol
_atom_site_fract_x
_atom_site_fract_y
_atom_site_fract_z
Ce1 Ce 0.250 0.250 0.185
Pm1 Pm 0.016 0.555 0.230
Pm2 Pm 0.250 0.750 0.582
Tl1 Tl 0.080 0.750 0.938
Tl2 Tl 0.250 0.086 0.508
# * volume: 34.43 A^3/atom
# * energy relative to the elements: -15 meV/atom
# * energy above the lowest structure with this stoichiometry: 0.274 eV per atom

***

Entry 3:
# PBE Li4Pa3WN8, relaxed
data_Li4Pa3WN8
_chemical_formula_sum 'Li12 Pa9 W3 N24'
_space_group_name_H-M_alt 'R -3 m'
_space_group_IT_number 166
_space_group_name_Hall '-R 3 2"'
_cell_length_a 6.8288
_cell_length_b 6.8288
_cell_length_c 15.2580
_cell_angle_alpha 90.00
_cell_angle_beta 90.00
_cell_angle_gamma 120.00
loop_
_atom_site_label
_atom_site_type_symbol
_atom_site_fract_x
_atom_site_fract_y
_atom_site_fract_z
Li1 Li 0.0000 0.0000 0.0000
Li2 Li 0.0000 0.5000 0.0000
Pa1 Pa 0.0000 0.5000 0.5000
W1 W 0.0000 0.0000 0.5000
N1 N 0.0000 0.0000 0.2384
N2 N 0.0230 0.5115 0.2371
# * volume: 12.84 A^3/atom
# * formation energy from raw total energies: -1.035 eV/atom

***

Entry 4:
# PBE Sr2LiInN, relaxed
data_Sr2LiInN
_chemical_formula_sum 'Sr2 Li1 In1 N1'
_space_group_name_H-M_alt 'P 4/m m m'
_space_group_IT_number 123
_space_group_name_Hall '-P 4 2'
_cell_length_a 5.411
_cell_length_b 5.411
_cell_length_c 4.247
_cell_angle_alpha 90.00
_cell_angle_beta 90.00
_cell_angle_gamma 90.00
loop_
_atom_site_label
_atom_site_type_symbol
_atom_site_fract_x
_atom_site_fract_y
_atom_site_fract_z
Sr1 Sr 0.000 0.500 0.000
Li1 Li 0.000 0.000 0.500
In1 In 0.500 0.500 0.500
N1 N 0.000 0.000 0.000
# * volume: 24.87 A^3/atom
# * formation energy from raw total energies: -0.310 eV/atom

***

Entry 5:
# PBE PmIn4Ni2, relaxed
data_PmIn4Ni2
_chemical_formula_sum 'Pm4 In16 Ni8'
_space_group_name_H-M_alt 'P n m a'
_space_group_IT_number 62
_space_group_name_Hall '-P 2ac 2n'
_cell_length_a 18.294
_cell_length_b 4.477
_cell_length_c 7.023
_cell_angle_alpha 90.00
_cell_angle_beta 90.00
_cell_angle_gamma 90.00
loop_
_atom_site_label
_atom_site_type_symbol
_atom_site_fract_x
_atom_site_fract_y
_atom_site_fract_z
Pm1 Pm 0.140 0.250 0.023
In1 In 0.032 0.750 0.848
In2 In 0.072 0.250 0.507
In3 In 0.185 0.750 0.324
In4 In 0.196 0.750 0.737
Ni1 Ni 0.041 0.750 0.243
Ni2 Ni 0.217 0.250 0.535
# * volume: 20.54 A^3/atom
# * energy relative to the elements: -317 meV/atom

***

Entry 6:
# PBE MgTl4Hg15, relaxed
data_MgTl4Hg15
_chemical_formula_sum 'Mg1 Tl4 Hg15'
_space_group_name_H-M_alt 'P 1 2/m 1'
_space_group_IT_number 10
_space_group_name_Hall '-P 2y'
_cell_length_a 5.174
_cell_length_b 4.129
_cell_length_c 25.676
_cell_angle_alpha 90.00
_cell_angle_beta 93.35
_cell_angle_gamma 90.00
loop_
_atom_site_label
_atom_site_type_symbol
_atom_site_fract_x
_atom_site_fract_y
_atom_site_fract_z
Mg1 Mg 0.000 0.000 0.000
Tl1 Tl 0.161 0.000 0.190
Tl2 Tl 0.382 0.000 0.397
Hg1 Hg 0.000 0.000 0.500
Hg2 Hg 0.081 0.500 0.088
Hg3 Hg 0.118 0.500 0.603
Hg4 Hg 0.228 0.000 0.706
Hg5 Hg 0.270 0.500 0.294
Hg6 Hg 0.336 0.500 0.807
Hg7 Hg 0.404 0.000 0.905
Hg8 Hg 0.500 0.500 0.000
Hg9 Hg 0.500 0.500 0.500
# * volume: 27.39 A^3/atom
# * energy relative to the elements: -28 meV/atom

***

Entry 7:
# PBE HfHgCl4, relaxed
data_HfHgCl4
_chemical_formula_sum 'Hf4 Hg4 Cl16'
_space_group_name_H-M_alt 'C 1 2/m 1'
_space_group_IT_number 12
_space_group_name_Hall '-C 2y'
_cell_length_a 19.616
_cell_length_b 8.005
_cell_length_c 6.723
_cell_angle_alpha 90.00
_cell_angle_beta 104.75
_cell_angle_gamma 90.00
loop_
_atom_site_label
_atom_site_type_symbol
_atom_site_fract_x
_atom_site_fract_y
_atom_site_fract_z
Hf1 Hf 0.086 0.000 0.386
Hg1 Hg 0.186 0.500 0.768
Cl1 Cl 0.000 0.197 0.500
Cl2 Cl 0.102 0.218 0.173
Cl3 Cl 0.184 0.000 0.659
# * volume: 42.54 A^3/atom
# * formation energy from raw total energies: -1.461 eV/atom

***

Entry 8:
# PBE TiTlP2Se8, relaxed
data_TiTlP2Se8
_chemical_formula_sum 'Ti3 Tl3 P6 Se24'
_space_group_name_H-M_alt 'R -3'
_space_group_IT_number 148
_space_group_name_Hall '-R 3'
_cell_length_a 6.3611
_cell_length_b 6.3611
_cell_length_c 26.7171
_cell_angle_alpha 90.00
_cell_angle_beta 90.00
_cell_angle_gamma 120.00
loop_
_atom_site_label
_atom_site_type_symbol
_atom_site_fract_x
_atom_site_fract_y
_atom_site_fract_z
Ti1 Ti 0.0000 0.0000 0.0000
Tl1 Tl 0.0000 0.0000 0.5000
P1 P 0.0000 0.0000 0.2560
Se1 Se 0.0000 0.0000 0.1748
Se2 Se 0.0052 0.6816 0.6142
# * volume: 26.01 A^3/atom
# * formation energy from raw total energies: -0.252 eV/atom

***

Entry 9:
# PBE Cs2NaPb, relaxed
data_Cs2NaPb
_chemical_formula_sum 'Cs8 Na4 Pb4'
_space_group_name_H-M_alt 'C m c m'
_space_group_IT_number 63
_space_group_name_Hall '-C 2c 2'
_cell_length_a 12.118
_cell_length_b 9.893
_cell_length_c 7.298
_cell_angle_alpha 90.00
_cell_angle_beta 90.00
_cell_angle_gamma 90.00
loop_
_atom_site_label
_atom_site_type_symbol
_atom_site_fract_x
_atom_site_fract_y
_atom_site_fract_z
Cs1 Cs 0.173 0.139 0.250
Na1 Na 0.000 0.500 0.000
Pb1 Pb 0.000 0.230 0.750
# * volume: 54.68 A^3/atom
# * energy relative to the elements: -72 meV/atom

***

Entry 10:
# PBE SmTm2Rh2, relaxed
data_SmTm2Rh2
_chemical_formula_sum 'Sm1 Tm2 Rh2'
_space_group_name_H-M_alt 'P -3 m 1'
_space_group_IT_number 164
_space_group_name_Hall '-P 3 2"'
_cell_length_a 4.7990
_cell_length_b 4.7990
_cell_length_c 5.9332
_cell_angle_alpha 90.00
_cell_angle_beta 90.00
_cell_angle_gamma 120.00
loop_
_atom_site_label
_atom_site_type_symbol
_atom_site_fract_x
_atom_site_fract_y
_atom_site_fract_z
Sm1 Sm 0.0000 0.0000 0.0000
Tm1 Tm 0.3333 0.6667 0.6620
Rh1 Rh 0.3333 0.6667 0.1739
# * volume: 23.67 A^3/atom
# * energy relative to the elements: -713 meV/atom
# * energy above the lowest structure with this stoichiometry: 0.000 eV per atom

***

Entry 11:
# PBE TePH2, relaxed
data_TePH2
_chemical_formula_sum 'Te3 P3 H6'
_space_group_name_H-M_alt 'R -3 m'
_space_group_IT_number 166
_space_group_name_Hall '-R 3 2"'
_cell_length_a 4.0427
_cell_length_b 4.0427
_cell_length_c 10.6111
_cell_angle_alpha 90.00
_cell_angle_beta 90.00
_cell_angle_gamma 120.00
loop_
_atom_site_label
_atom_site_type_symbol
_atom_site_fract_x
_atom_site_fract_y
_atom_site_fract_z
Te1 Te 0.0000 0.0000 0.0000
P1 P 0.0000 0.0000 0.5000
H1 H 0.0000 0.0000 0.1910
# * volume: 12.52 A^3/atom
# * energy above the lowest structure with this stoichiometry: 0.451 eV per atom

***

Entry 12:
# PBE YCu2P, relaxed
data_YCu2P
_chemical_formula_sum 'Y1 Cu2 P1'
_space_group_name_H-M_alt 'P 1 m 1'
_space_group_IT_number 6
_space_group_name_Hall 'P -2y'
_cell_length_a 3.713
_cell_length_b 3.713
_cell_length_c 5.070
_cell_angle_alpha 90.00
_cell_angle_beta 90.20
_cell_angle_gamma 90.00
loop_
_atom_site_label
_atom_site_type_symbol
_atom_site_fract_x
_atom_site_fract_y
_atom_site_fract_z
Y1 Y 0.000 0.000 0.000
Cu1 Cu 0.498 0.000 0.506
Cu2 Cu 0.998 0.500 0.506
P1 P 0.499 0.500 0.806
# * volume: 17.47 A^3/atom
# * energy relative to the elements: -487 meV/atom